# 1
Computed, not measured: a crystal of TbMg16Al12 relaxed with PBEsol at the meta-GGA SCAN level of DFT.

Geometry as POSCAR:
```
TbMg16Al12
1.0
9.0682 0.0000 0.0000
-3.0227 8.5496 0.0000
-3.0227 -4.2748 7.4041
Al Mg Tb
12 16 1
Cartesian
4.3701 6.1802 1.3401
1.3473 4.2989 4.6822
-1.6754 0.0241 2.7220
-1.6754 2.3452 1.3819
4.3701 -1.9295 6.0223
3.6039 2.7033 4.6822
2.7696 -0.7978 1.3819
1.3473 1.9054 6.0640
2.7696 1.5956 0.0000
-3.2759 3.4770 6.0223
0.5812 -1.5715 2.7220
0.5812 3.1431 0.0000
-1.9411 -2.7451 4.7547
2.7873 3.9419 2.0987
1.5446 -2.9097 5.0397
2.7873 -0.1534 4.4631
-3.2581 4.1214 2.9410
4.5673 1.3651 2.3644
4.9717 -1.6980 2.9410
-0.2354 -0.3329 5.3054
-1.9411 5.4903 0.0000
5.8233 0.0000 0.0000
-3.2581 0.4863 5.0397
1.5446 5.8194 0.0000
4.9717 3.3960 0.0000
-0.2354 4.7611 2.3644
1.0816 1.5296 2.6494
-1.0737 2.5768 4.4631
0.0000 0.0000 0.0000
```

Summary:
Polymorph energy (0 for the lowest one): 0.0 kJ per mole of atoms
Magnetic moment: 0.0 μB/f.u.
Formation energy from the elements: -0.077 eV/atom

# 2
Computed, not measured: a crystal of LaMoP2O relaxed with PBEsol at the meta-GGA SCAN level of DFT.

Geometry as POSCAR:
```
LaMoP2O
1.0
4.0499 0.0000 0.0000
0.0000 5.3410 0.0000
0.0000 0.0000 5.3410
Mo P O La
1 2 1 1
Cartesian
2.0250 2.6705 2.6705
0.0000 2.6705 0.0000
0.0000 0.0000 2.6705
2.0250 0.0000 0.0000
0.0000 0.0000 0.0000
```

Summary:
Formation energy (no corrections): 462 meV/atom
Magnetic moment: 2.6 μB/f.u.

# 3
Computed, not measured: a crystal of La2AlBr relaxed with PBEsol at the meta-GGA SCAN level of DFT.

Geometry as POSCAR:
```
La2AlBr
1.0
6.0953 0.0000 0.0000
0.0000 6.0953 0.0000
-3.0477 -3.0477 8.1240
La Br Al
4 2 2
Cartesian
-1.5238 -1.5507 6.0930
1.5238 1.5507 6.0930
1.4969 4.5715 2.0310
4.5984 1.5238 2.0310
0.0000 3.0477 4.0620
0.0000 0.0000 0.0000
3.0477 0.0000 4.0620
3.0477 3.0477 0.0000
```

Summary:
Formation energy (no corrections): -396 meV/atom
Polymorph energy (0 for the lowest one): 52.7 kJ per mole of atoms
Magnetic moment: 0.0 μB/f.u.